First-principles (PBE) data for a relaxed Y2CoSi crystal, as listed in Alexandria via LeMat-Bulk.

Properties
formation energy (no corrections) = -0.529 eV per atom
volume = 21.3 Å³ per atom
energy = -0.253 hartree per atom

a = 5.640 Å, b = 4.056 Å, c = 7.931 Å
α = 90.00°, β = 110.32°, γ = 90.00°
Space group P2_1/m (No. 11)
Asymmetric unit:
Y1 0.195 0.250 0.414 x2
Y2 0.279 0.750 0.059 x2
Co1 0.179 0.250 0.774 x2
Si1 0.355 0.750 0.711 x2